Model i:
This record from Alexandria via LeMat-Bulk describes a geometry-optimized LiNiTe2N structure. The functional is PBE.

Output
- density of states at the Fermi level (states/eV/atom) = 0.85

Unit cell a=5.0571 b=5.0571 c=3.3515 alpha=90.00 beta=90.00 gamma=90.00
Space group P4/mmm (No. 123)
Asymmetric unit:
Li 0.0000 0.0000 0.0000 x1
Ni 0.5000 0.5000 0.5000 x1
Te 0.0000 0.5000 0.0000 x2
N 0.0000 0.0000 0.5000 x1

=====

Model ii:
This record from Alexandria via LeMat-Bulk describes a geometry-optimized LiNiTe2N structure. The functional is PBE.

Output
- density of states at the Fermi level (states/eV/atom) = 0.55

Unit cell a=5.5113 b=5.5113 c=3.3748 alpha=90.00 beta=90.00 gamma=90.00
Space group P4/mmm (No. 123)
Asymmetric unit:
Li 0.0000 0.0000 0.0000 x1
Ni 0.5000 0.5000 0.5000 x1
Te 0.0000 0.5000 0.5000 x2
N 0.5000 0.5000 0.0000 x1

=====

Compare the structures above. Which one is the most stable? model ii is.